P) TbHoGa2Ir4: relaxed, PBE.

Lattice parameters (Å, degrees): 4.336 4.336 9.021 90.00 90.00 120.00
Each line ends with the local moment (μB).
Fractional coordinates of all 8 atoms:
Ga1 0.333 0.667 0.248  0.00
Ir1 0.667 0.333 0.836  0.06
Ho1 0.000 0.000 0.000  0.01
Ga2 0.333 0.667 0.752  0.00
Tb1 0.667 0.333 0.500  0.01
Ir2 0.667 0.333 0.164  0.06
Ir3 0.000 0.000 0.672  0.04
Ir4 0.000 0.000 0.328  0.04

- Magnetization: 0.26 μB/f.u.
- Space-group type: No. 187



Q) TbHoGa2Ir4: relaxed, PBE.

Lattice parameters (Å, degrees): 4.586 4.586 6.488 90.00 90.00 90.00
Fractional coordinates of all 8 atoms:
Ir1 0.000 0.500 0.249
Ga1 0.000 0.000 0.500
Ho1 0.000 0.000 0.000
Tb1 0.500 0.500 0.500
Ir2 0.000 0.500 0.751
Ir3 0.500 0.000 0.249
Ir4 0.500 0.000 0.751
Ga2 0.500 0.500 0.000

- Magnetization: 0.01 μB/f.u.
- Space-group type: No. 123



Name the most stable of them. P).



P) YHoGa2Ir4: relaxed, PBE.

Lattice parameters (Å, degrees): 4.580 4.580 6.484 90.00 90.00 90.00
Fractional coordinates of all 8 atoms:
Ir1 0.000 0.500 0.248
Ir2 0.000 0.500 0.752
Ir3 0.500 0.000 0.752
Ho1 0.000 0.000 0.000
Ir4 0.500 0.000 0.248
Ga1 0.500 0.500 0.000
Y1 0.500 0.500 0.500
Ga2 0.000 0.000 0.500

- Magnetization: 0.00 μB/f.u.
- Space-group type: No. 123



Q) YHoGa2Ir4: relaxed, PBE.

Lattice parameters (Å, degrees): 4.332 4.332 9.015 90.00 90.00 120.00
Each line ends with the local moment (μB).
Fractional coordinates of all 8 atoms:
Ga1 0.333 0.667 0.249  0.00
Ho1 0.000 0.000 0.000  0.01
Ir1 0.667 0.333 0.164  0.08
Y1 0.667 0.333 0.500  0.01
Ga2 0.333 0.667 0.751  0.00
Ir2 0.000 0.000 0.672  0.06
Ir3 0.000 0.000 0.328  0.07
Ir4 0.667 0.333 0.836  0.08

- Magnetization: 0.34 μB/f.u.
- Space-group type: No. 187



Name the most stable of them. Q).



P) Ho2Lu3Ga3: relaxed, PBE.

Lattice parameters (Å, degrees): 5.393 6.261 6.261 68.54 90.00 90.00
Fractional coordinates of all 8 atoms:
Lu1 0.500 0.186 0.682
Ho1 0.500 0.681 0.681
Ga1 0.500 0.165 0.165
Lu2 0.000 0.868 0.868
Ga2 0.000 0.752 0.388
Ho2 0.000 0.278 0.278
Lu3 0.500 0.682 0.186
Ga3 0.000 0.388 0.752

- Magnetization: 0.01 μB/f.u.
- Space-group type: No. 38



Q) Ho2Lu3Ga3: relaxed, PBE.

Lattice parameters (Å, degrees): 6.802 6.802 4.884 90.00 90.00 120.00
Fractional coordinates of all 8 atoms:
Ga1 0.518 0.482 0.000
Ho1 0.000 0.000 0.000
Lu1 0.352 0.176 0.500
Ga2 0.963 0.482 0.000
Lu2 0.824 0.176 0.500
Ga3 0.518 0.037 0.000
Lu3 0.824 0.648 0.500
Ho2 0.333 0.667 0.500

- Magnetization: 0.01 μB/f.u.
- Space-group type: No. 187



R) Ho2Lu3Ga3: relaxed, PBE.

Lattice parameters (Å, degrees): 6.519 4.763 6.531 90.00 106.50 90.00
Fractional coordinates of all 8 atoms:
Lu1 0.629 0.000 0.880
Ga1 0.827 0.500 0.684
Ga2 0.425 0.500 0.075
Ga3 0.122 0.000 0.361
Ho1 0.629 0.000 0.379
Lu2 0.913 0.500 0.166
Ho2 0.330 0.500 0.584
Lu3 0.125 0.000 0.871

- Magnetization: 0.00 μB/f.u.
- Space-group type: No. 6



Name the most stable of them. R).



P) HoGaNO: relaxed, PBE.

Lattice parameters (Å, degrees): 6.343 7.191 4.975 90.00 90.00 90.00
Fractional coordinates of all 16 atoms:
N1 0.084 0.368 0.508
O1 0.574 0.056 0.653
O2 0.074 0.944 0.653
N2 0.584 0.632 0.508
O3 0.926 0.056 0.153
Ho1 0.436 0.347 0.521
N3 0.416 0.368 0.008
Ho2 0.064 0.347 0.021
Ga1 0.605 0.147 0.021
Ga2 0.105 0.853 0.021
N4 0.916 0.632 0.008
Ga3 0.895 0.147 0.521
Ho3 0.564 0.653 0.021
O4 0.426 0.944 0.153
Ga4 0.395 0.853 0.521
Ho4 0.936 0.653 0.521

- Magnetization: 0.02 μB/f.u.
- Space-group type: No. 29



Q) HoGaNO: relaxed, PBE.

Lattice parameters (Å, degrees): 4.196 4.925 5.270 90.00 90.00 90.00
Fractional coordinates of all 8 atoms:
O1 0.500 0.877 0.865
Ga1 0.500 0.473 0.765
Ho1 0.000 0.459 0.273
O2 0.500 0.377 0.135
N1 0.000 0.445 0.710
N2 0.000 0.945 0.290
Ga2 0.500 0.973 0.235
Ho2 0.000 0.959 0.727

- Magnetization: 0.00 μB/f.u.
- Space-group type: No. 26



Name the most stable of them. Q).



P) HoGaNO: relaxed, PBE.

Lattice parameters (Å, degrees): 3.851 3.851 7.583 90.00 90.00 90.00
Fractional coordinates of all 8 atoms:
Ho1 0.500 0.000 0.857
Ho2 0.000 0.500 0.143
N1 0.000 0.500 0.634
O1 0.500 0.500 0.000
Ga1 0.000 0.000 0.500
Ga2 0.500 0.500 0.500
O2 0.000 0.000 0.000
N2 0.500 0.000 0.366

- Magnetization: 0.00 μB/f.u.
- Space-group type: No. 129



Q) HoGaNO: relaxed, PBE.

Lattice parameters (Å, degrees): 4.847 4.847 4.524 90.00 90.00 90.00
Fractional coordinates of all 8 atoms:
N1 0.000 0.500 0.469
Ho1 0.000 0.000 0.500
O1 0.500 0.500 0.000
O2 0.000 0.000 0.000
Ga1 0.500 0.000 0.993
Ga2 0.000 0.500 0.007
Ho2 0.500 0.500 0.500
N2 0.500 0.000 0.531

- Magnetization: 0.00 μB/f.u.
- Space-group type: No. 129



Name the most stable of them. Q).



P) HoGaPO: relaxed, PBE.

Lattice parameters (Å, degrees): 4.452 4.520 6.324 90.00 90.00 90.00
Fractional coordinates of all 8 atoms:
Ga1 0.000 0.853 0.437
Ga2 0.000 0.147 0.937
Ho1 0.500 0.684 0.093
O1 0.500 0.847 0.436
Ho2 0.500 0.316 0.593
P1 0.000 0.354 0.288
P2 0.000 0.646 0.788
O2 0.500 0.153 0.936

- Magnetization: 0.00 μB/f.u.
- Space-group type: No. 26



Q) HoGaPO: relaxed, PBE.

Lattice parameters (Å, degrees): 4.118 4.118 8.058 90.00 90.00 90.00
Fractional coordinates of all 8 atoms:
P1 0.750 0.750 0.330
Ga1 0.750 0.250 0.500
O1 0.750 0.250 0.000
O2 0.250 0.750 0.000
Ho1 0.250 0.250 0.118
P2 0.250 0.250 0.670
Ho2 0.750 0.750 0.882
Ga2 0.250 0.750 0.500

- Magnetization: 0.02 μB/f.u.
- Space-group type: No. 129



R) HoGaPO: relaxed, PBE.

Lattice parameters (Å, degrees): 4.291 4.291 9.079 90.00 90.00 90.00
Fractional coordinates of all 8 atoms:
P1 0.250 0.250 0.683
O1 0.750 0.250 0.000
Ho1 0.250 0.750 0.500
Ho2 0.750 0.250 0.500
Ga1 0.250 0.250 0.946
Ga2 0.750 0.750 0.054
O2 0.250 0.750 0.000
P2 0.750 0.750 0.317

- Magnetization: 0.02 μB/f.u.
- Space-group type: No. 129



Name the most stable of them. Q).



P) HoGaPdPt: relaxed, PBE.

Lattice parameters (Å, degrees): 4.383 4.383 9.086 90.00 90.00 120.00
Fractional coordinates of all 8 atoms:
Ho1 0.667 0.333 0.746
Pd1 0.667 0.333 0.081
Pt1 0.667 0.333 0.412
Ga1 0.000 0.000 0.000
Ho2 0.333 0.667 0.254
Ga2 0.000 0.000 0.500
Pt2 0.333 0.667 0.588
Pd2 0.333 0.667 0.919

- Magnetization: 0.00 μB/f.u.
- Space-group type: No. 164



Q) HoGaPdPt: relaxed, PBE.

Lattice parameters (Å, degrees): 4.382 4.382 9.051 90.00 90.00 120.00
Fractional coordinates of all 8 atoms:
Ga1 0.000 0.000 0.005
Ho1 0.667 0.333 0.748
Pt1 0.667 0.333 0.083
Pt2 0.333 0.667 0.583
Pd1 0.333 0.667 0.915
Ga2 0.000 0.000 0.505
Ho2 0.333 0.667 0.248
Pd2 0.667 0.333 0.415

- Magnetization: 0.00 μB/f.u.
- Space-group type: No. 186



Name the most stable of them. Q).



P) YHoGa2Pd4: relaxed, PBE.

Lattice parameters (Å, degrees): 4.681 4.681 6.630 90.00 90.00 90.00
Fractional coordinates of all 8 atoms:
Ho1 0.000 0.000 0.000
Y1 0.500 0.500 0.500
Pd1 0.000 0.500 0.248
Pd2 0.500 0.000 0.248
Pd3 0.500 0.000 0.752
Pd4 0.000 0.500 0.752
Ga1 0.500 0.500 0.000
Ga2 0.000 0.000 0.500

- Magnetization: 0.00 μB/f.u.
- Space-group type: No. 123



Q) YHoGa2Pd4: relaxed, PBE.

Lattice parameters (Å, degrees): 4.399 4.399 9.059 90.00 90.00 120.00
Fractional coordinates of all 8 atoms:
Pd1 0.000 0.000 0.671
Y1 0.333 0.667 0.500
Ga1 0.667 0.333 0.750
Pd2 0.333 0.667 0.833
Pd3 0.333 0.667 0.167
Ga2 0.667 0.333 0.250
Pd4 0.000 0.000 0.329
Ho1 0.000 0.000 0.000

- Magnetization: 0.00 μB/f.u.
- Space-group type: No. 187



Name the most stable of them. Q).



P) HoGaSiPt2: relaxed, PBE.

Lattice parameters (Å, degrees): 4.162 4.162 10.343 90.00 90.00 90.00
Fractional coordinates of all 10 atoms:
Pt1 0.000 0.500 0.646
Pt2 0.500 0.000 0.354
Ho1 0.000 0.500 0.249
Ho2 0.500 0.000 0.751
Ga1 0.000 0.000 0.500
Ga2 0.500 0.500 0.500
Pt3 0.000 0.000 0.000
Si1 0.500 0.000 0.129
Si2 0.000 0.500 0.871
Pt4 0.500 0.500 0.000

- Magnetization: 0.00 μB/f.u.
- Space-group type: No. 129



Q) HoGaSiPt2: relaxed, PBE.

Lattice parameters (Å, degrees): 4.174 4.174 10.296 90.00 90.00 90.00
Fractional coordinates of all 10 atoms:
Si1 0.000 0.000 0.500
Pt1 0.500 0.000 0.619
Pt2 0.000 0.500 0.381
Pt3 0.000 0.000 0.000
Ga1 0.000 0.500 0.141
Pt4 0.500 0.500 0.000
Si2 0.500 0.500 0.500
Ga2 0.500 0.000 0.859
Ho1 0.000 0.500 0.741
Ho2 0.500 0.000 0.259

- Magnetization: 0.00 μB/f.u.
- Space-group type: No. 129



Name the most stable of them. P).



P) HoGaSb: relaxed, PBE.

Lattice parameters (Å, degrees): 4.960 4.960 4.960 60.00 60.00 60.00
Fractional coordinates of all 3 atoms:
Ga1 0.250 0.250 0.250
Sb1 0.750 0.750 0.750
Ho1 0.000 0.000 0.000

- Magnetization: 0.00 μB/f.u.
- Space-group type: No. 216



Q) HoGaSb: relaxed, PBE.

Lattice parameters (Å, degrees): 4.875 4.875 4.875 60.00 60.00 60.00
Fractional coordinates of all 3 atoms:
Sb1 0.750 0.750 0.750
Ho1 0.250 0.250 0.250
Ga1 0.000 0.000 0.000

- Magnetization: 0.00 μB/f.u.
- Space-group type: No. 216



R) HoGaSb: relaxed, PBE.

Lattice parameters (Å, degrees): 5.438 5.438 3.307 90.00 90.00 120.00
Each line ends with the local moment (μB).
Fractional coordinates of all 3 atoms:
Ho1 0.667 0.333 0.000  0.09
Sb1 0.333 0.667 0.000  0.00
Ga1 0.000 0.000 0.000  0.02

- Magnetization: 0.17 μB/f.u.
- Space-group type: No. 187



Name the most stable of them. P).



P) HoGaTc: relaxed, PBE.

Lattice parameters (Å, degrees): 4.453 4.453 4.453 60.00 60.00 60.00
Fractional coordinates of all 3 atoms:
Ho1 0.250 0.250 0.250
Ga1 0.000 0.000 0.000
Tc1 0.750 0.750 0.750

- Magnetization: 0.03 μB/f.u.
- Space-group type: No. 216



Q) HoGaTc: relaxed, PBE.

Lattice parameters (Å, degrees): 4.616 4.616 4.616 60.00 60.00 60.00
Each line ends with the local moment (μB).
Fractional coordinates of all 3 atoms:
Tc1 0.750 0.750 0.750  0.96
Ho1 0.000 0.000 0.000  -0.01
Ga1 0.250 0.250 0.250  -0.04

- Magnetization: 0.97 μB/f.u.
- Space-group type: No. 216



Name the most stable of them. P).